## ScTi2AlHg (PBEsol)

Data for a relaxed ScTi2AlHg crystal.

Space-group type = No. 123
Size of the total moment = 0.00 μB/f.u.
Formation energy from the elements = 55.3 kJ per mole of atoms
Calculated total energy = -5.0080 eV/atom
D(E_F) = 5.770 states/eV per cell
Crystal system = tetragonal

Unit cell a=4.6985 b=4.6985 c=4.9098 alpha=90.00 beta=90.00 gamma=90.00
Last column: nearest neighbours and their distance in Å.
Element x y z (fractional)
Sc 0.0000 0.0000 0.0000  2 Al 2.45
Ti 0.0000 0.5000 0.5000  2 Al 2.35
Ti 0.5000 0.0000 0.5000  2 Al 2.35
Al 0.0000 0.0000 0.5000  4 Ti 2.35, 2 Sc 2.45
Hg 0.5000 0.5000 0.0000  4 Sc 3.32, 8 Ti 3.40

## CdRu2Br (PBEsol)

Data for a relaxed CdRu2Br crystal.

Energy above the lowest structure with this stoichiometry = 0.0 meV per atom
Space-group type = No. 8
Size of the total moment = 0.00 μB/f.u.
Calculated total energy = -5.2048 eV/atom
D(E_F) = 2.642 states/eV per cell
Crystal system = monoclinic

Unit cell a=5.4185 b=5.4185 c=5.1481 alpha=116.30 beta=116.30 gamma=30.79
Last column: nearest neighbours and their distance in Å.
Element x y z (fractional)
Cd 0.0000 0.0000 0.0000  7 Ru 2.87-3.05, 2 Cd 2.88, 3 Br 2.95-3.19
Ru 0.2391 0.2391 0.5861  2 Br 2.49, 2 Ru 2.57
Ru 0.5270 0.5270 0.5446  2 Br 2.52, 2 Ru 2.57
Br 0.8065 0.8065 0.2735  4 Ru 2.49-2.52

## LiP2Ir (PBEsol)

Data for a relaxed LiP2Ir crystal.

Energy above the lowest structure with this stoichiometry = 0.0 meV per atom
Space-group type = No. 123
Size of the total moment = 0.00 μB/f.u.
Formation energy from the elements = -19.4 kJ per mole of atoms
Calculated total energy = -6.0441 eV/atom
D(E_F) = 1.942 states/eV per cell
Crystal system = tetragonal

Unit cell a=2.8671 b=2.8671 c=6.7895 alpha=90.00 beta=90.00 gamma=90.00
Last column: nearest neighbours and their distance in Å.
Element x y z (fractional)
Li 0.0000 0.0000 0.0000  8 P 2.75, 4 Li 2.87
P 0.5000 0.5000 0.2741  4 Ir 2.54, 4 Li 2.75
P 0.5000 0.5000 0.7259  4 Ir 2.54, 4 Li 2.75
Ir 0.0000 0.0000 0.5000  8 P 2.54

## LaMnSi2 (PBEsol)

Data for a relaxed LaMnSi2 crystal.

Space-group type = No. 63
Size of the total moment = 1.82 μB/f.u.
Calculated total energy = -7.2813 eV/atom
D(E_F) = 3.238 states/eV per cell
Crystal system = orthorhombic

Unit cell a=8.9925 b=8.9925 c=3.9895 alpha=90.00 beta=90.00 gamma=153.59
Last column: nearest neighbours and their distance in Å.
Element x y z (fractional)
La 0.1032 0.8968 0.7500  10 Si 3.09-3.20, 4 Mn 3.24-3.30
La 0.8968 0.1032 0.2500  10 Si 3.09-3.20, 4 Mn 3.24-3.30
Mn 0.2493 0.7507 0.2500  4 Si 2.34-2.38
Mn 0.7507 0.2493 0.7500  4 Si 2.34-2.38
Si 0.3195 0.6805 0.7500  4 Mn 2.34-2.38, 1 Si 2.52
Si 0.4633 0.5367 0.7500  3 Si 2.37-2.52
Si 0.5367 0.4633 0.2500  3 Si 2.37-2.52
Si 0.6805 0.3195 0.2500  4 Mn 2.34-2.38, 1 Si 2.52